First-principles (PBE) data for crystalline BaLiSn2Hg at its relaxed geometry, as listed in Alexandria via LeMat-Bulk.

POSCAR file:
```
BaLiSn2Hg
1.0
-2.435 2.435 6.100
2.435 -2.435 6.100
2.435 2.435 -6.100
Ba Li Sn Hg
1 1 2 1
Cartesian
0.000 0.000 0.000
2.435 0.000 3.050
0.000 0.000 4.657
0.000 0.000 7.543
0.000 2.435 3.050
```

Energy relative to the lowest polymorph listed for this composition   0.0 meV per atom
Energy relative to the elements   -487 meV/atom
Volume   144.7 Å³/cell
Crystal system   tetragonal
Final energy   -14.6 eV for the cell shown
Symmetry   I-4m2 (119)